Entry 1:
Crystalline Co5Tc3H12 at its relaxed geometry. Source: the Alexandria database, functional PBE-GGA.

abc: 10.3039 10.3039 10.3039
angles: 90.00 90.00 90.00
Space group Ia-3d (No. 230)
Symmetry-distinct sites (fractional):
Co: 0.0000 0.0000 0.0000 (multiplicity 16)
Co: 0.0000 0.2500 0.3750 (multiplicity 24)
Tc: 0.0000 0.2500 0.1250 (multiplicity 24)
H: 0.0186 0.0669 0.6482 (multiplicity 96)

---

Entry 2:
Crystalline CoTc3H at its relaxed geometry. Source: the Alexandria database, functional PBE-GGA.

Its energy relative to the lowest polymorph listed for this composition is 0.000 eV/atom.

abc: 3.8405 3.8405 3.8405
angles: 90.00 90.00 90.00
Space group Pm-3m (No. 221)
Symmetry-distinct sites (fractional):
Co: 0.0000 0.0000 0.0000 (multiplicity 1)
Tc: 0.0000 0.5000 0.5000 (multiplicity 3)
H: 0.5000 0.5000 0.5000 (multiplicity 1)

---

no.,Fermi-level density of states (states/eV per atom),E (eV/atom)
1,0.7995,-5.14
2,0.9298,-8.21